The following is a DFT calculation (GGA-PBE) of a relaxed ReNi2W crystal.

Lattice parameters (Å, degrees): 6.0153 6.0153 6.0153 90.00 90.00 90.00
Last column: nearest neighbours and their distance in Å.
Space group F-43m (No. 216)
Symmetry-distinct sites (fractional):
Re  0.0000  0.0000  0.0000  4 W 2.60, 4 Ni 2.60
Ni  0.0000  0.0000  0.5000  4 W 2.60, 4 Ni 2.60
Ni  0.2500  0.2500  0.7500  4 Re 2.60, 4 Ni 2.60
W  0.2500  0.2500  0.2500  4 Re 2.60, 4 Ni 2.60

Output
E_form (eV/atom): 0.18
Total magnetization (μB per formula unit): 0.04